Record 1
DFT (PBE-GGA) results for a relaxed SrPaC2O8 crystal.

Crystal system = trigonal
V = 157 Å³/f.u.
E_form (uncorrected) = -2.04 eV per atom

Cell lengths 4.923, 4.923, 7.482 Å; angles 90.00, 90.00, 120.00 degrees
Site moments in Bohr magnetons follow the coordinates.
Sites, in units of the cell vectors:
O1 0.626 0.725 0.689  0.06
O2 0.374 0.275 0.311  0.06
O3 0.667 0.333 0.066  0.28
O4 0.275 0.901 0.689  0.06
O5 0.099 0.374 0.689  0.06
O6 0.901 0.626 0.311  0.06
O7 0.725 0.099 0.311  0.06
O8 0.333 0.667 0.934  0.28
Pa1 0.000 0.000 0.500  0.01
C1 0.667 0.333 0.246  -0.01
C2 0.333 0.667 0.754  -0.01
Sr1 0.000 0.000 0.000  0.00

Record 2
DFT (PBE-GGA) results for a relaxed La4Nd2Tm5 crystal.

Crystal system = monoclinic
V = 376 Å³/f.u.
ΔH_f (0 K) = 127 meV/atom
Energy above the most stable polymorph in this dataset = 33 meV/atom

Cell lengths 3.537, 8.734, 14.621 Å; angles 122.74, 96.95, 90.00 degrees
Sites, in units of the cell vectors:
Nd1 0.274 0.374 0.548
Nd2 0.726 0.626 0.452
Tm1 0.131 0.212 0.262
Tm2 0.812 0.093 0.624
Tm3 0.500 0.000 0.000
Tm4 0.188 0.907 0.376
Tm5 0.869 0.788 0.738
La1 0.959 0.259 0.919
La2 0.590 0.482 0.180
La3 0.041 0.741 0.081
La4 0.410 0.518 0.820

Record 3
DFT (PBE-GGA) results for a relaxed Er3GaGe crystal.

Crystal system = monoclinic
V = 141 Å³/f.u.
ΔH_f (0 K) = -402 meV/atom

Cell lengths 7.680, 7.680, 12.212 Å; angles 69.44, 69.44, 59.09 degrees
Sites, in units of the cell vectors:
Er1 0.254 0.394 0.875
Er2 0.774 0.923 0.787
Er3 0.791 0.333 0.446
Er4 0.226 0.077 0.213
Er5 0.077 0.226 0.713
Er6 0.606 0.746 0.625
Er7 0.394 0.254 0.375
Er8 0.333 0.791 0.946
Er9 0.923 0.774 0.287
Er10 0.667 0.209 0.054
Er11 0.746 0.606 0.125
Er12 0.209 0.667 0.554
Ga1 0.511 0.794 0.372
Ga2 0.206 0.489 0.128
Ga3 0.794 0.511 0.872
Ga4 0.489 0.206 0.628
Ge1 0.196 0.804 0.750
Ge2 0.000 0.500 0.500
Ge3 0.500 0.000 0.000
Ge4 0.804 0.196 0.250

Record 4
DFT (PBE-GGA) results for a relaxed Pm4InPbC crystal.

Crystal system = orthorhombic
V = 205 Å³/f.u.
ΔH_f (0 K) = -370 meV/atom

Cell lengths 7.113, 7.112, 8.853 Å; angles 90.00, 113.69, 90.00 degrees
Sites, in units of the cell vectors:
Pm1 0.500 0.000 0.500
Pm2 0.000 0.000 0.500
Pm3 0.000 0.500 0.500
Pm4 0.911 0.250 0.822
Pm5 0.500 0.500 0.500
Pm6 0.588 0.250 0.176
Pm7 0.412 0.750 0.824
Pm8 0.089 0.750 0.178
C1 0.251 0.750 0.502
C2 0.749 0.250 0.498
Pb1 0.112 0.250 0.224
Pb2 0.888 0.750 0.776
In1 0.386 0.250 0.771
In2 0.614 0.750 0.229